(P)
Here is crystalline ReRu3S at its relaxed geometry from Alexandria via LeMat-Bulk. Energies are from PBE.

a = 4.704 Å, b = 4.704 Å, c = 4.704 Å
α = 90.00°, β = 90.00°, γ = 90.00°
Sites, in units of the cell vectors:
Re 0.000 0.000 0.000
S 0.500 0.500 0.500
Ru 0.000 0.500 0.000
Ru 0.000 0.000 0.500
Ru 0.500 0.000 0.000

(Q)
Here is crystalline ReRu3S at its relaxed geometry from Alexandria via LeMat-Bulk. Energies are from PBE.

a = 4.291 Å, b = 4.291 Å, c = 4.291 Å
α = 90.00°, β = 90.00°, γ = 90.00°
Sites, in units of the cell vectors:
Re 0.500 0.500 0.500
S 0.000 0.000 0.000
Ru 0.000 0.500 0.000
Ru 0.000 0.000 0.500
Ru 0.500 0.000 0.000

Here is how they stack up, most stable first: (Q), (P).

(P)
Here is crystalline ReSb2Ru at its relaxed geometry from Alexandria via LeMat-Bulk. Energies are from PBE.

a = 10.659 Å, b = 10.659 Å, c = 10.659 Å
α = 16.54°, β = 16.54°, γ = 16.54°
Sites, in units of the cell vectors:
Re 0.491 0.491 0.491
Ru 0.758 0.758 0.758
Sb 0.025 0.025 0.025
Sb 0.226 0.226 0.226

(Q)
Here is crystalline ReSb2Ru at its relaxed geometry from Alexandria via LeMat-Bulk. Energies are from PBE.

a = 4.634 Å, b = 4.634 Å, c = 4.634 Å
α = 60.00°, β = 60.00°, γ = 60.00°
Sites, in units of the cell vectors:
Re 0.500 0.500 0.500
Ru 0.000 0.000 0.000
Sb 0.250 0.250 0.250
Sb 0.750 0.750 0.750

(R)
Here is crystalline ReSb2Ru at its relaxed geometry from Alexandria via LeMat-Bulk. Energies are from PBE.

a = 4.730 Å, b = 4.730 Å, c = 4.730 Å
α = 60.00°, β = 60.00°, γ = 60.00°
Sites, in units of the cell vectors:
Re 0.500 0.500 0.500
Ru 0.750 0.750 0.750
Sb 0.000 0.000 0.000
Sb 0.250 0.250 0.250

Here is how they stack up, most stable first: (Q), (P), (R).

(P)
Here is crystalline ReSb2Ru at its relaxed geometry from Alexandria via LeMat-Bulk. Energies are from PBE.

a = 4.958 Å, b = 3.184 Å, c = 4.597 Å
α = 90.00°, β = 90.00°, γ = 90.00°
Sites, in units of the cell vectors:
Re 0.000 0.375 0.510
Ru 0.500 0.875 0.739
Sb 0.000 0.875 0.992
Sb 0.500 0.375 0.259

(Q)
Here is crystalline ReSb2Ru at its relaxed geometry from Alexandria via LeMat-Bulk. Energies are from PBE.

a = 5.982 Å, b = 5.982 Å, c = 7.256 Å
α = 65.66°, β = 65.66°, γ = 90.00°
Sites, in units of the cell vectors:
Re 0.000 0.000 0.000
Re 0.750 0.250 0.500
Ru 0.500 0.500 0.000
Ru 0.250 0.750 0.500
Sb 0.621 0.125 0.250
Sb 0.129 0.625 0.250
Sb 0.375 0.379 0.750
Sb 0.875 0.871 0.750

Here is how they stack up, most stable first: (P), (Q).

(P)
Here is crystalline ReSb2Ru at its relaxed geometry from Alexandria via LeMat-Bulk. Energies are from PBE.

a = 4.273 Å, b = 3.157 Å, c = 5.585 Å
α = 88.50°, β = 90.00°, γ = 90.00°
Sites, in units of the cell vectors:
Re 0.500 0.250 0.250
Ru 0.500 0.750 0.750
Sb 0.000 0.973 0.003
Sb 0.000 0.527 0.497

(Q)
Here is crystalline ReSb2Ru at its relaxed geometry from Alexandria via LeMat-Bulk. Energies are from PBE.

a = 5.567 Å, b = 5.567 Å, c = 5.567 Å
α = 139.10°, β = 139.10°, γ = 59.23°
Sites, in units of the cell vectors:
Re 0.500 0.500 0.000
Ru 0.750 0.250 0.500
Sb 0.000 0.000 0.000
Sb 0.250 0.750 0.500

Here is how they stack up, most stable first: (Q), (P).

(P)
Here is crystalline ReSb2Ru at its relaxed geometry from Alexandria via LeMat-Bulk. Energies are from PBE.

a = 4.529 Å, b = 4.529 Å, c = 5.511 Å
α = 78.22°, β = 78.22°, γ = 41.01°
Sites, in units of the cell vectors:
Re 0.250 0.250 0.250
Ru 0.750 0.750 0.750
Sb 0.000 0.000 0.002
Sb 0.500 0.500 0.498

(Q)
Here is crystalline ReSb2Ru at its relaxed geometry from Alexandria via LeMat-Bulk. Energies are from PBE.

a = 8.408 Å, b = 8.408 Å, c = 8.408 Å
α = 21.88°, β = 21.88°, γ = 21.88°
Sites, in units of the cell vectors:
Re 0.250 0.250 0.250
Ru 0.750 0.750 0.750
Sb 0.001 0.001 0.001
Sb 0.499 0.499 0.499

(R)
Here is crystalline ReSb2Ru at its relaxed geometry from Alexandria via LeMat-Bulk. Energies are from PBE.

a = 3.022 Å, b = 3.022 Å, c = 9.170 Å
α = 90.00°, β = 90.00°, γ = 90.00°
Sites, in units of the cell vectors:
Re 0.000 0.000 0.536
Ru 0.500 0.500 0.716
Sb 0.000 0.000 0.923
Sb 0.500 0.500 0.325

Here is how they stack up, most stable first: (R), (Q), (P).

(P)
Here is crystalline ReSb2Ru at its relaxed geometry from Alexandria via LeMat-Bulk. Energies are from PBE.

a = 3.281 Å, b = 3.281 Å, c = 6.510 Å
α = 90.00°, β = 90.00°, γ = 90.00°
Sites, in units of the cell vectors:
Re 0.500 0.500 0.250
Ru 0.500 0.500 0.750
Sb 0.000 0.000 0.001
Sb 0.000 0.000 0.499

(Q)
Here is crystalline ReSb2Ru at its relaxed geometry from Alexandria via LeMat-Bulk. Energies are from PBE.

a = 5.059 Å, b = 5.059 Å, c = 4.685 Å
α = 76.76°, β = 76.76°, γ = 37.97°
Sites, in units of the cell vectors:
Re 0.510 0.510 0.422
Ru 0.742 0.742 0.827
Sb 0.005 0.005 0.931
Sb 0.244 0.244 0.320

Here is how they stack up, most stable first: (Q), (P).

(P)
Here is crystalline ScRe2Ru at its relaxed geometry from Alexandria via LeMat-Bulk. Energies are from PBE.

a = 7.445 Å, b = 7.445 Å, c = 5.844 Å
α = 50.43°, β = 50.43°, γ = 90.00°
Sites, in units of the cell vectors:
Sc 0.500 0.500 0.000
Sc 0.250 0.750 0.500
Re 0.664 0.125 0.250
Re 0.086 0.625 0.250
Re 0.375 0.336 0.750
Re 0.875 0.914 0.750
Ru 0.000 0.000 0.000
Ru 0.750 0.250 0.500

(Q)
Here is crystalline ScRe2Ru at its relaxed geometry from Alexandria via LeMat-Bulk. Energies are from PBE.

a = 2.759 Å, b = 2.759 Å, c = 8.361 Å
α = 90.00°, β = 90.00°, γ = 90.04°
Sites, in units of the cell vectors:
Re 0.000 0.000 0.025
Re 0.000 0.000 0.475
Ru 0.500 0.500 0.250
Sc 0.500 0.500 0.750

Here is how they stack up, most stable first: (Q), (P).

(P)
Here is crystalline ScReRu3 at its relaxed geometry from Alexandria via LeMat-Bulk. Energies are from PBE.

a = 4.461 Å, b = 4.461 Å, c = 4.461 Å
α = 90.00°, β = 90.00°, γ = 90.00°
Sites, in units of the cell vectors:
Sc 0.000 0.000 0.000
Re 0.500 0.500 0.500
Ru 0.000 0.500 0.000
Ru 0.000 0.000 0.500
Ru 0.500 0.000 0.000

(Q)
Here is crystalline ScReRu3 at its relaxed geometry from Alexandria via LeMat-Bulk. Energies are from PBE.

a = 4.660 Å, b = 4.660 Å, c = 4.660 Å
α = 90.00°, β = 90.00°, γ = 90.00°
Sites, in units of the cell vectors:
Sc 0.500 0.500 0.500
Re 0.000 0.000 0.000
Ru 0.000 0.500 0.000
Ru 0.000 0.000 0.500
Ru 0.500 0.000 0.000

Here is how they stack up, most stable first: (Q), (P).